## ZnTcPt2 (PBE)

Data for an optimized crystal structure of ZnTcPt2.

Density of states at the Fermi level ... 3.5 states/eV/cell

a = 3.950 Å, b = 3.917 Å, c = 3.917 Å
α = 90.00°, β = 90.00°, γ = 90.00°
Each line ends with the local moment (μB).
Atoms (fractional coordinates):
Pt (0.000, 0.500, 0.500)  0.16
Zn (0.500, 0.000, 0.500)  0.00
Tc (0.500, 0.500, 0.000)  1.52
Pt (0.000, 0.000, 0.000)  0.16


## ZnTc2Pt (PBE)

Data for an optimized crystal structure of ZnTc2Pt.

Density of states at the Fermi level ... 4.0 states/eV/cell

a = 4.761 Å, b = 4.761 Å, c = 4.761 Å
α = 131.96°, β = 131.96°, γ = 70.30°
Atoms (fractional coordinates):
Tc (0.250, 0.750, 0.500)
Pt (0.750, 0.250, 0.500)
Tc (0.000, 0.000, 0.000)
Zn (0.500, 0.500, 0.000)


## ZnTcPt2 (PBE)

Data for an optimized crystal structure of ZnTcPt2.

Density of states at the Fermi level ... 1.6 states/eV/cell

a = 2.779 Å, b = 2.779 Å, c = 7.734 Å
α = 90.00°, β = 90.00°, γ = 90.00°
Atoms (fractional coordinates):
Pt (0.500, 0.500, 0.263)
Pt (0.000, 0.000, 0.989)
Tc (0.000, 0.000, 0.499)
Zn (0.500, 0.500, 0.750)


Going through the records in order, we get V values of 15.2 14.6 14.9 A^3/atom.
Going through the records in order, we get E values of -5.9778 -7.0449 -6.1118 eV/atom.